This record from Alexandria via LeMat-Bulk describes MgNbAu after structural relaxation. The functional is PBE.

Structure (CIF):
```
data_MgNbAu
_chemical_formula_sum 'Mg2 Nb2 Au2'
_symmetry_space_group_name_H-M 'P 1'
_symmetry_Int_Tables_number 1
_cell_length_a 4.729
_cell_length_b 4.729
_cell_length_c 5.684
_cell_angle_alpha 90.00
_cell_angle_beta 90.00
_cell_angle_gamma 120.00
loop_
_symmetry_equiv_pos_as_xyz
'x,y,z'
loop_
_atom_site_label
_atom_site_fract_x
_atom_site_fract_y
_atom_site_fract_z
_atom_site_occupancy
Mg1 0.333 0.667 0.250 1
Mg2 0.667 0.333 0.750 1
Nb1 0.333 0.667 0.750 1
Nb2 0.667 0.333 0.250 1
Au1 0.000 0.000 0.500 1
Au2 0.000 0.000 0.000 1
```

Output
The space group is No. 194. The calculated volume comes out at 110 Å³ per cell. As for the density of states at the Fermi level: 0.89 states/eV/atom. For the formation energy, the calculation gives 0.352 eV/atom.

***

This record from Alexandria via LeMat-Bulk describes NaSr2LiGa after structural relaxation. The functional is PBE.

Structure (CIF):
```
data_NaSr2LiGa
_chemical_formula_sum 'Na1 Sr2 Li1 Ga1'
_symmetry_space_group_name_H-M 'P 1'
_symmetry_Int_Tables_number 1
_cell_length_a 6.249
_cell_length_b 6.249
_cell_length_c 5.119
_cell_angle_alpha 90.00
_cell_angle_beta 90.00
_cell_angle_gamma 90.00
loop_
_symmetry_equiv_pos_as_xyz
'x,y,z'
loop_
_atom_site_label
_atom_site_fract_x
_atom_site_fract_y
_atom_site_fract_z
_atom_site_occupancy
Sr1 0.000 0.500 0.000 1
Sr2 0.500 0.000 0.000 1
Na1 0.500 0.500 0.500 1
Li1 0.000 0.000 0.500 1
Ga1 0.000 0.000 0.000 1
```

Output
The space group is No. 123. The calculated volume comes out at 200 Å³ per cell. As for the density of states at the Fermi level: 1.02 states/eV/atom. For the formation energy, the calculation gives -0.033 eV/atom.

***

This record from Alexandria via LeMat-Bulk describes Co2H2Rh after structural relaxation. The functional is PBE.

Structure (CIF):
```
data_Co2H2Rh
_chemical_formula_sum 'Co4 H4 Rh2'
_symmetry_space_group_name_H-M 'P 1'
_symmetry_Int_Tables_number 1
_cell_length_a 3.751
_cell_length_b 4.641
_cell_length_c 5.971
_cell_angle_alpha 59.08
_cell_angle_beta 71.69
_cell_angle_gamma 66.17
loop_
_symmetry_equiv_pos_as_xyz
'x,y,z'
loop_
_atom_site_label
_atom_site_fract_x
_atom_site_fract_y
_atom_site_fract_z
_atom_site_occupancy
H1 0.501 0.263 0.735 1
H2 0.499 0.737 0.265 1
H3 0.163 0.251 0.423 1
H4 0.837 0.749 0.577 1
Co1 0.335 0.747 0.583 1
Co2 0.665 0.253 0.417 1
Co3 0.000 0.253 0.746 1
Co4 0.000 0.747 0.254 1
Rh1 0.667 0.753 0.912 1
Rh2 0.333 0.247 0.088 1
```

Output
The space group is No. 12. The calculated volume comes out at 81 Å³ per cell. The value obtained for the energy above the most stable polymorph in this dataset is 0.000 eV/atom. As for the density of states at the Fermi level: 0.77 states/eV/atom.

***

This record from Alexandria via LeMat-Bulk describes La2MnBiN after structural relaxation. The functional is PBE.

Structure (CIF):
```
data_La2MnBiN
_chemical_formula_sum 'La2 Mn1 Bi1 N1'
_symmetry_space_group_name_H-M 'P 1'
_symmetry_Int_Tables_number 1
_cell_length_a 5.371
_cell_length_b 5.371
_cell_length_c 4.044
_cell_angle_alpha 90.00
_cell_angle_beta 90.00
_cell_angle_gamma 90.00
loop_
_symmetry_equiv_pos_as_xyz
'x,y,z'
loop_
_atom_site_label
_atom_site_fract_x
_atom_site_fract_y
_atom_site_fract_z
_atom_site_occupancy
N1 0.000 0.000 0.000 1
La1 0.000 0.500 0.000 1
La2 0.500 0.000 0.000 1
Bi1 0.500 0.500 0.500 1
Mn1 0.000 0.000 0.500 1
```

Output
The value obtained for the formation energy (no corrections) is -0.751 eV/atom. The space group is No. 123. The calculated volume comes out at 117 Å³ per cell. As for the density of states at the Fermi level: 0.73 states/eV/atom.

***

This record from Alexandria via LeMat-Bulk describes Rb2ZrMo after structural relaxation. The functional is PBE.

Structure (CIF):
```
data_Rb2ZrMo
_chemical_formula_sum 'Rb4 Zr2 Mo2'
_symmetry_space_group_name_H-M 'P 1'
_symmetry_Int_Tables_number 1
_cell_length_a 13.309
_cell_length_b 13.309
_cell_length_c 9.715
_cell_angle_alpha 46.77
_cell_angle_beta 46.77
_cell_angle_gamma 90.00
loop_
_symmetry_equiv_pos_as_xyz
'x,y,z'
loop_
_atom_site_label
_atom_site_fract_x
_atom_site_fract_y
_atom_site_fract_z
_atom_site_occupancy
Zr1 0.250 0.750 0.500 1
Zr2 0.500 0.500 0.000 1
Mo1 0.000 0.000 0.000 1
Mo2 0.750 0.250 0.500 1
Rb1 0.782 0.125 0.250 1
Rb2 0.875 0.032 0.750 1
Rb3 0.375 0.218 0.750 1
Rb4 0.968 0.625 0.250 1
```

Output
The space group is No. 122. The calculated volume comes out at 427 Å³ per cell. The value obtained for the energy above the most stable polymorph in this dataset is 0.000 eV/atom. As for the density of states at the Fermi level: 1.55 states/eV/atom. For the formation energy, the calculation gives 1.445 eV/atom.

***

This record from Alexandria via LeMat-Bulk describes AlIrWS2 after structural relaxation. The functional is PBE.

Structure (CIF):
```
data_AlIrWS2
_chemical_formula_sum 'Al1 Ir1 W1 S2'
_symmetry_space_group_name_H-M 'P 1'
_symmetry_Int_Tables_number 1
_cell_length_a 4.504
_cell_length_b 5.281
_cell_length_c 4.504
_cell_angle_alpha 90.00
_cell_angle_beta 90.00
_cell_angle_gamma 90.00
loop_
_symmetry_equiv_pos_as_xyz
'x,y,z'
loop_
_atom_site_label
_atom_site_fract_x
_atom_site_fract_y
_atom_site_fract_z
_atom_site_occupancy
W1 0.000 0.000 0.000 1
Al1 0.000 0.500 0.000 1
S1 0.500 0.000 0.000 1
S2 0.000 0.000 0.500 1
Ir1 0.500 0.500 0.500 1
```

Output
The value obtained for the formation energy (no corrections) is 1.035 eV/atom. The space group is No. 123. The calculated volume comes out at 107 Å³ per cell. As for the density of states at the Fermi level: 1.40 states/eV/atom.

***

This record from Alexandria via LeMat-Bulk describes ReSnRu after structural relaxation. The functional is PBE.

Structure (CIF):
```
data_ReSnRu
_chemical_formula_sum 'Re2 Sn2 Ru2'
_symmetry_space_group_name_H-M 'P 1'
_symmetry_Int_Tables_number 1
_cell_length_a 3.386
_cell_length_b 3.386
_cell_length_c 8.983
_cell_angle_alpha 90.00
_cell_angle_beta 90.00
_cell_angle_gamma 90.00
loop_
_symmetry_equiv_pos_as_xyz
'x,y,z'
loop_
_atom_site_label
_atom_site_fract_x
_atom_site_fract_y
_atom_site_fract_z
_atom_site_occupancy
Sn1 0.500 0.000 0.387 1
Sn2 0.000 0.500 0.613 1
Ru1 0.500 0.000 0.757 1
Ru2 0.000 0.500 0.243 1
Re1 0.000 0.500 0.944 1
Re2 0.500 0.000 0.056 1
```

Output
The space group is No. 129. The calculated volume comes out at 103 Å³ per cell. As for the density of states at the Fermi level: 0.85 states/eV/atom. For the formation energy, the calculation gives 0.260 eV/atom.

***

This record from Alexandria via LeMat-Bulk describes Ac9LaCo3 after structural relaxation. The functional is PBE.

Structure (CIF):
```
data_Ac9LaCo3
_chemical_formula_sum 'Ac18 La2 Co6'
_symmetry_space_group_name_H-M 'P 1'
_symmetry_Int_Tables_number 1
_cell_length_a 6.963
_cell_length_b 10.697
_cell_length_c 13.045
_cell_angle_alpha 90.00
_cell_angle_beta 99.40
_cell_angle_gamma 90.00
loop_
_symmetry_equiv_pos_as_xyz
'x,y,z'
loop_
_atom_site_label
_atom_site_fract_x
_atom_site_fract_y
_atom_site_fract_z
_atom_site_occupancy
Ac1 0.729 0.750 0.339 1
Ac2 0.160 0.937 0.826 1
Ac3 0.343 0.571 0.136 1
Ac4 0.545 0.750 0.686 1
Ac5 0.840 0.063 0.174 1
Ac6 0.657 0.429 0.864 1
Ac7 0.251 0.944 0.424 1
Ac8 0.455 0.250 0.314 1
Ac9 0.749 0.056 0.576 1
Ac10 0.840 0.437 0.174 1
Ac11 0.160 0.563 0.826 1
Ac12 0.657 0.071 0.864 1
Ac13 0.749 0.444 0.576 1
Ac14 0.251 0.556 0.424 1
Ac15 0.271 0.250 0.661 1
Ac16 0.343 0.929 0.136 1
Ac17 0.824 0.750 0.012 1
Ac18 0.176 0.250 0.988 1
La1 0.971 0.250 0.400 1
La2 0.029 0.750 0.600 1
Co1 0.312 0.528 0.645 1
Co2 0.000 0.500 0.000 1
Co3 0.312 0.972 0.645 1
Co4 0.000 0.000 0.000 1
Co5 0.688 0.472 0.355 1
Co6 0.688 0.028 0.355 1
```

Output
The space group is No. 11. The calculated volume comes out at 959 Å³ per cell. As for the density of states at the Fermi level: 1.22 states/eV/atom. For the formation energy, the calculation gives 0.059 eV/atom.

***

This record from Alexandria via LeMat-Bulk describes ZrTa2Hg after structural relaxation. The functional is PBE.

Structure (CIF):
```
data_ZrTa2Hg
_chemical_formula_sum 'Zr1 Ta2 Hg1'
_symmetry_space_group_name_H-M 'P 1'
_symmetry_Int_Tables_number 1
_cell_length_a 4.575
_cell_length_b 4.145
_cell_length_c 4.145
_cell_angle_alpha 90.00
_cell_angle_beta 90.00
_cell_angle_gamma 90.00
loop_
_symmetry_equiv_pos_as_xyz
'x,y,z'
loop_
_atom_site_label
_atom_site_fract_x
_atom_site_fract_y
_atom_site_fract_z
_atom_site_occupancy
Hg1 0.500 0.000 0.500 1
Zr1 0.500 0.500 0.000 1
Ta1 0.000 0.000 0.000 1
Ta2 0.000 0.500 0.500 1
```

Output
The space group is No. 123. The calculated volume comes out at 79 Å³ per cell. As for the density of states at the Fermi level: 1.04 states/eV/atom. For the formation energy, the calculation gives 0.164 eV/atom.

***

This record from Alexandria via LeMat-Bulk describes Pm2Cd2InPd5 after structural relaxation. The functional is PBE.

Structure (CIF):
```
data_Pm2Cd2InPd5
_chemical_formula_sum 'Pm4 Cd4 In2 Pd10'
_symmetry_space_group_name_H-M 'P 1'
_symmetry_Int_Tables_number 1
_cell_length_a 3.790
_cell_length_b 10.406
_cell_length_c 10.406
_cell_angle_alpha 90.00
_cell_angle_beta 90.00
_cell_angle_gamma 90.00
loop_
_symmetry_equiv_pos_as_xyz
'x,y,z'
loop_
_atom_site_label
_atom_site_fract_x
_atom_site_fract_y
_atom_site_fract_z
_atom_site_occupancy
Pd1 0.500 0.039 0.800 1
Pd2 0.500 0.961 0.200 1
Pd3 0.500 0.461 0.300 1
Pd4 0.500 0.539 0.700 1
Pd5 0.500 0.700 0.461 1
Pd6 0.500 0.200 0.039 1
Pd7 0.500 0.500 0.000 1
Pd8 0.500 0.800 0.961 1
Pd9 0.500 0.000 0.500 1
Pd10 0.500 0.300 0.539 1
In1 0.000 0.000 0.000 1
In2 0.000 0.500 0.500 1
Cd1 0.000 0.130 0.630 1
Cd2 0.000 0.370 0.130 1
Cd3 0.000 0.870 0.370 1
Cd4 0.000 0.630 0.870 1
Pm1 0.000 0.331 0.831 1
Pm2 0.000 0.669 0.169 1
Pm3 0.000 0.831 0.669 1
Pm4 0.000 0.169 0.331 1
```

Output
The space group is No. 127. The calculated volume comes out at 410 Å³ per cell. As for the density of states at the Fermi level: 0.45 states/eV/atom. For the formation energy, the calculation gives -0.514 eV/atom.

***

This record from Alexandria via LeMat-Bulk describes Na3HfV after structural relaxation. The functional is PBE.

Structure (CIF):
```
data_Na3HfV
_chemical_formula_sum 'Na3 Hf1 V1'
_symmetry_space_group_name_H-M 'P 1'
_symmetry_Int_Tables_number 1
_cell_length_a 5.955
_cell_length_b 5.955
_cell_length_c 5.955
_cell_angle_alpha 90.00
_cell_angle_beta 90.00
_cell_angle_gamma 90.00
loop_
_symmetry_equiv_pos_as_xyz
'x,y,z'
loop_
_atom_site_label
_atom_site_fract_x
_atom_site_fract_y
_atom_site_fract_z
_atom_site_occupancy
V1 0.500 0.500 0.500 1
Na1 0.000 0.000 0.500 1
Na2 0.500 0.000 0.000 1
Na3 0.000 0.500 0.000 1
Hf1 0.000 0.000 0.000 1
```

Output
The space group is No. 221. The calculated volume comes out at 211 Å³ per cell. The value obtained for the energy above the most stable polymorph in this dataset is 0.330 eV/atom. As for the density of states at the Fermi level: 2.50 states/eV/atom. For the formation energy, the calculation gives 1.968 eV/atom.

***

This record from Alexandria via LeMat-Bulk describes BaAc2La after structural relaxation. The functional is PBE.

Structure (CIF):
```
data_BaAc2La
_chemical_formula_sum 'Ba1 Ac2 La1'
_symmetry_space_group_name_H-M 'P 1'
_symmetry_Int_Tables_number 1
_cell_length_a 3.928
_cell_length_b 3.928
_cell_length_c 14.141
_cell_angle_alpha 82.02
_cell_angle_beta 82.02
_cell_angle_gamma 60.00
loop_
_symmetry_equiv_pos_as_xyz
'x,y,z'
loop_
_atom_site_label
_atom_site_fract_x
_atom_site_fract_y
_atom_site_fract_z
_atom_site_occupancy
Ba1 0.000 0.000 0.000 1
Ac1 0.093 0.093 0.722 1
Ac2 0.907 0.907 0.278 1
La1 0.500 0.500 0.500 1
```

Output
The space group is No. 166. The calculated volume comes out at 187 Å³ per cell. The value obtained for the energy above the most stable polymorph in this dataset is 0.095 eV/atom. As for the density of states at the Fermi level: 1.56 states/eV/atom. For the formation energy, the calculation gives 0.145 eV/atom.

***

calculated volume of number 10 (Pm2Cd2InPd5)?
410 Å³ per cell